First-principles (PBE-GGA) data for a geometry-optimized CsGa2SnS6 structure, as listed in Alexandria.

Summary:
- E_tot: -81.58 eV per cell
- Formation energy from raw total energies: -0.51 eV per atom

Lattice parameters (Å, degrees): 7.9776 9.9426 9.9426 101.26 72.84 72.84
With the nearest neighbours (Å) after each atom.
Fractional coordinates of all 20 atoms:
S 0.7305 0.0597 0.2385  1 Ga 2.24
Cs 0.7500 0.1082 0.8918  6 S 3.52-3.68
S 0.1854 0.6039 0.5821  1 S 2.08
S 0.2305 0.2385 0.0597  1 Ga 2.24
Ga 0.5703 0.2603 0.4380  3 S 2.24-2.38
S 0.5253 0.2672 0.6732  1 Ga 2.24, 1 Sn 2.47
Sn 0.2500 0.2074 0.7926  4 S 2.47-2.56
S 0.2695 0.9403 0.7615  1 Ga 2.24
S 0.4747 0.7328 0.3268  1 Ga 2.24, 1 Sn 2.47
S 0.6854 0.5821 0.6039  1 S 2.08
S 0.9747 0.3268 0.7328  1 Ga 2.24, 1 Sn 2.47
S 0.8146 0.3961 0.4179  1 S 2.08
Ga 0.4297 0.7397 0.5620  3 S 2.24-2.38
S 0.7695 0.7615 0.9403  1 Ga 2.24
S 0.3146 0.4179 0.3961  1 S 2.08
Ga 0.0703 0.4380 0.2603  3 S 2.24-2.38
S 0.0253 0.6732 0.2672  1 Ga 2.24, 1 Sn 2.47
Ga 0.9297 0.5620 0.7397  3 S 2.24-2.38
Cs 0.2500 0.8918 0.1082  6 S 3.52-3.68
Sn 0.7500 0.7926 0.2074  4 S 2.47-2.56